The following is a PBE-GGA calculation of crystalline NaTlInBr3 at its relaxed geometry, from the Alexandria database.

## Properties
* E: -17.3 eV/f.u.
* spin magnetization: 0.00 μB/f.u.
* energy relative to the elements, uncorrected: -0.9806 eV per atom

Cell lengths 9.2970, 4.4778, 9.9933 Å; angles 90.00, 97.21, 90.00 degrees
Positions (direct):
Na (0.1274, 0.2500, 0.1546)
Na (0.8726, 0.7500, 0.8454)
Tl (0.3372, 0.7500, 0.8299)
Tl (0.6628, 0.2500, 0.1701)
In (0.3650, 0.7500, 0.4729)
In (0.6350, 0.2500, 0.5271)
Br (0.0992, 0.2500, 0.8636)
Br (0.1616, 0.2500, 0.4450)
Br (0.3726, 0.7500, 0.1755)
Br (0.6274, 0.2500, 0.8245)
Br (0.8384, 0.7500, 0.5550)
Br (0.9008, 0.7500, 0.1364)


The following is a PBE-GGA calculation of crystalline CaHgPb2 at its relaxed geometry, from the Alexandria database.

## Properties
* energy relative to the elements: -28 kJ/mol of atoms
* E: -10.9 eV/f.u.
* spin magnetization: 0.00 μB/f.u.

Cell lengths 3.7983, 5.5829, 5.5256 Å; angles 90.00, 90.00, 90.00 degrees
Positions (direct):
Ca (0.0000, 0.0000, 0.0000)
Hg (0.5000, 0.5000, 0.9158)
Pb (0.0000, 0.5000, 0.4189)
Pb (0.5000, 0.0000, 0.5048)


The following is a PBE-GGA calculation of crystalline TiW3N at its relaxed geometry, from the Alexandria database.

## Properties
* distance to the lowest polymorph of the same formula: 3108 meV per atom
* E: -39.7 eV/f.u.
* spin magnetization: 0.00 μB/f.u.
* energy relative to the elements, uncorrected: 3.0660 eV per atom

Cell lengths 4.5560, 4.5560, 4.5560 Å; angles 90.00, 90.00, 90.00 degrees
Positions (direct):
Ti (0.0000, 0.0000, 0.0000)
W (0.0000, 0.0000, 0.5000)
W (0.0000, 0.5000, 0.0000)
W (0.5000, 0.0000, 0.0000)
N (0.5000, 0.5000, 0.5000)


The following is a PBE-GGA calculation of crystalline Th2Si3Rh2 at its relaxed geometry, from the Alexandria database.

## Properties
* distance to the lowest polymorph of the same formula: 144 meV per atom
* E: -51.4 eV/f.u.
* spin magnetization: 0.00 μB/f.u.
* energy relative to the elements, uncorrected: -0.7984 eV per atom

Cell lengths 5.7289, 5.7289, 6.9286 Å; angles 117.35, 117.35, 42.15 degrees
Positions (direct):
Th (0.1373, 0.1373, 0.2651)
Th (0.8627, 0.8627, 0.7349)
Si (0.3657, 0.3657, 0.0735)
Si (0.5000, 0.5000, 0.5000)
Si (0.6343, 0.6343, 0.9265)
Rh (0.1376, 0.1376, 0.7180)
Rh (0.8624, 0.8624, 0.2820)


The following is a PBE-GGA calculation of crystalline ScMn2Be at its relaxed geometry, from the Alexandria database.

## Properties
* energy relative to the elements: 16 kJ/mol of atoms
* E: -27.7 eV/f.u.
* spin magnetization: 5.14 μB/f.u.

Cell lengths 4.5953, 4.5953, 4.5953 Å; angles 130.47, 130.47, 72.66 degrees
Positions (direct):
Sc (0.0000, 0.0000, 0.0000)
Mn (0.2500, 0.7500, 0.5000)
Mn (0.7500, 0.2500, 0.5000)
Be (0.5000, 0.5000, 0.0000)


The following is a PBE-GGA calculation of crystalline Sm2Dy3Ho6Th at its relaxed geometry, from the Alexandria database.

## Properties
* energy relative to the elements: 3 kJ/mol of atoms
* E: -57.8 eV/f.u.
* spin magnetization: 0.00 μB/f.u.

Cell lengths 6.1571, 6.1571, 11.7433 Å; angles 95.02, 95.02, 119.95 degrees
Positions (direct):
Sm (0.1666, 0.8334, 0.0000)
Sm (0.8334, 0.1666, 0.0000)
Dy (0.0000, 0.0000, 0.5000)
Dy (0.3328, 0.6672, 0.5000)
Dy (0.6672, 0.3328, 0.5000)
Ho (0.0857, 0.4155, 0.7494)
Ho (0.2549, 0.2549, 0.2507)
Ho (0.4155, 0.0857, 0.7494)
Ho (0.5845, 0.9143, 0.2506)
Ho (0.7451, 0.7451, 0.7493)
Ho (0.9143, 0.5845, 0.2506)
Th (0.5000, 0.5000, 0.0000)


The following is a PBE-GGA calculation of crystalline Li2PtIO6 at its relaxed geometry, from the Alexandria database.

## Properties
* E: -47.6 eV/f.u.
* spin magnetization: 1.00 μB/f.u.
* energy relative to the elements, uncorrected: -0.6423 eV per atom

Cell lengths 5.6847, 5.6847, 4.1411 Å; angles 90.00, 90.00, 90.00 degrees
Positions (direct):
Li (0.0000, 0.5000, 0.0000)
Li (0.5000, 0.0000, 0.0000)
Pt (0.0000, 0.0000, 0.7813)
I (0.5000, 0.5000, 0.7589)
O (0.0000, 0.0000, 0.3019)
O (0.2534, 0.2534, 0.8507)
O (0.2534, 0.7466, 0.8507)
O (0.5000, 0.5000, 0.3233)
O (0.7466, 0.2534, 0.8507)
O (0.7466, 0.7466, 0.8507)


The following is a PBE-GGA calculation of crystalline YTaCl at its relaxed geometry, from the Alexandria database.

## Properties
* distance to the lowest polymorph of the same formula: 457 meV per atom
* E: -19.2 eV/f.u.
* spin magnetization: 0.94 μB/f.u.
* energy relative to the elements, uncorrected: 0.3095 eV per atom

Cell lengths 4.8537, 4.8537, 3.1724 Å; angles 90.00, 90.00, 120.00 degrees
Positions (direct):
Y (0.0000, 0.0000, 0.0000)
Ta (0.3333, 0.6667, 0.5000)
Cl (0.6667, 0.3333, 0.5000)


The following is a PBE-GGA calculation of crystalline PrSmAlHg at its relaxed geometry, from the Alexandria database.

## Properties
* distance to the lowest polymorph of the same formula: 0 meV per atom
* energy relative to the elements: -41 kJ/mol of atoms
* E: -15.2 eV/f.u.
* spin magnetization: 0.00 μB/f.u.

Cell lengths 3.6144, 3.6144, 8.1895 Å; angles 90.00, 90.00, 90.00 degrees
Positions (direct):
Pr (0.0000, 0.0000, 0.0000)
Sm (0.0000, 0.0000, 0.4787)
Al (0.5000, 0.5000, 0.2439)
Hg (0.5000, 0.5000, 0.7285)


The following is a PBE-GGA calculation of crystalline Pr2Nd6Dy3 at its relaxed geometry, from the Alexandria database.

## Properties
* distance to the lowest polymorph of the same formula: 0 meV per atom
* energy relative to the elements: 1 kJ/mol of atoms
* E: -51.8 eV/f.u.
* spin magnetization: 0.00 μB/f.u.

Cell lengths 6.3264, 8.1388, 8.1689 Å; angles 107.47, 97.29, 104.85 degrees
Positions (direct):
Pr (0.2291, 0.4094, 0.0477)
Pr (0.7709, 0.5906, 0.9523)
Nd (0.0459, 0.6830, 0.4108)
Nd (0.1372, 0.0458, 0.2314)
Nd (0.3191, 0.7740, 0.8636)
Nd (0.6809, 0.2260, 0.1364)
Nd (0.8628, 0.9542, 0.7686)
Nd (0.9541, 0.3170, 0.5892)
Dy (0.4101, 0.1364, 0.6797)
Dy (0.5000, 0.5000, 0.5000)
Dy (0.5899, 0.8636, 0.3203)


The following is a PBE-GGA calculation of crystalline Na3YIn at its relaxed geometry, from the Alexandria database.

## Properties
* energy relative to the elements: 49 kJ/mol of atoms
* E: -10.6 eV/f.u.
* spin magnetization: 0.37 μB/f.u.

Cell lengths 5.7006, 5.7006, 5.7006 Å; angles 90.00, 90.00, 90.00 degrees
Positions (direct):
Na (0.0000, 0.0000, 0.5000)
Na (0.0000, 0.5000, 0.0000)
Na (0.5000, 0.0000, 0.0000)
Y (0.5000, 0.5000, 0.5000)
In (0.0000, 0.0000, 0.0000)


The following is a PBE-GGA calculation of crystalline CaAl2ZnAu2 at its relaxed geometry, from the Alexandria database.

## Properties
* energy relative to the elements: -47 kJ/mol of atoms
* E: -20.2 eV/f.u.
* spin magnetization: 0.00 μB/f.u.

Cell lengths 4.4175, 4.4175, 7.0371 Å; angles 90.00, 90.00, 120.00 degrees
Positions (direct):
Ca (0.0000, 0.0000, 0.0000)
Al (0.3333, 0.6667, 0.6906)
Al (0.6667, 0.3333, 0.3094)
Zn (0.0000, 0.0000, 0.5000)
Au (0.3333, 0.6667, 0.2911)
Au (0.6667, 0.3333, 0.7089)


What did the eighth record say?
The following is a PBE-GGA calculation of crystalline YTaCl at its relaxed geometry, from the Alexandria database.

## Properties
* distance to the lowest polymorph of the same formula: 457 meV per atom
* E: -19.2 eV/f.u.
* spin magnetization: 0.94 μB/f.u.
* energy relative to the elements, uncorrected: 0.3095 eV per atom

Cell lengths 4.8537, 4.8537, 3.1724 Å; angles 90.00, 90.00, 120.00 degrees
Positions (direct):
Y (0.0000, 0.0000, 0.0000)
Ta (0.3333, 0.6667, 0.5000)
Cl (0.6667, 0.3333, 0.5000)